# LaMg9Au3, optimized geometry, DFT PBE
# - total DFT energy (no corrections) (eV per atom) = -2.61
# - crystal system = monoclinic
data_LaMg9Au3
_cell_length_a 5.629
_cell_length_b 14.093
_cell_length_c 7.565
_cell_angle_alpha 90.00
_cell_angle_beta 111.29
_cell_angle_gamma 90.00
_symmetry_space_group_name_H-M 'C 1 2/m 1'
_symmetry_Int_Tables_number 12
loop_
_symmetry_equiv_pos_as_xyz
'x,y,z'
'-x,-y,-z'
'-x,y,-z'
'x,-y,z'
'x+1/2,y+1/2,z'
'-x+1/2,-y+1/2,-z'
'-x+1/2,y+1/2,-z'
'x+1/2,-y+1/2,z'
loop_
_atom_site_label
_atom_site_type_symbol
_atom_site_fract_x
_atom_site_fract_y
_atom_site_fract_z
_atom_site_occupancy
La1 La 0.000 0.000 0.000 1
Mg1 Mg 0.000 0.000 0.500 1
Mg2 Mg 0.097 0.390 0.211 1
Mg3 Mg 0.173 0.177 0.338 1
Au1 Au 0.000 0.500 0.500 1
Au2 Au 0.250 0.250 0.000 1

---

# LaMgAu, optimized geometry, DFT PBE
# - total DFT energy (no corrections) (eV per atom) = -3.78
# - crystal system = cubic
data_LaMgAu
_cell_length_a 7.029
_cell_length_b 7.029
_cell_length_c 7.029
_cell_angle_alpha 90.00
_cell_angle_beta 90.00
_cell_angle_gamma 90.00
_symmetry_space_group_name_H-M 'F -4 3 m'
_symmetry_Int_Tables_number 216
_symmetry_space_group_name_Hall 'F -4 2 3'
loop_
_atom_site_label
_atom_site_type_symbol
_atom_site_fract_x
_atom_site_fract_y
_atom_site_fract_z
_atom_site_occupancy
La1 La 0.000 0.000 0.000 1
Mg1 Mg 0.000 0.000 0.500 1
Au1 Au 0.250 0.250 0.250 1

---

# La5Mg4Au, optimized geometry, DFT PBE
# - total DFT energy (no corrections) (eV per atom) = -3.68
# - crystal system = tetragonal
data_La5Mg4Au
_cell_length_a 3.934
_cell_length_b 3.934
_cell_length_c 19.474
_cell_angle_alpha 90.00
_cell_angle_beta 90.00
_cell_angle_gamma 90.00
_symmetry_space_group_name_H-M 'P 4/m m m'
_symmetry_Int_Tables_number 123
_symmetry_space_group_name_Hall '-P 4 2'
loop_
_atom_site_label
_atom_site_type_symbol
_atom_site_fract_x
_atom_site_fract_y
_atom_site_fract_z
_atom_site_occupancy
La1 La 0.000 0.000 0.000 1
La2 La 0.000 0.000 0.205 1
La3 La 0.000 0.000 0.410 1
Mg1 Mg 0.500 0.500 0.103 1
Mg2 Mg 0.500 0.500 0.304 1
Au1 Au 0.500 0.500 0.500 1

---

# LaMgAu, optimized geometry, DFT PBE
# - total DFT energy (no corrections) (eV per atom) = -3.94
# - crystal system = hexagonal
data_LaMgAu
_cell_length_a 7.9643
_cell_length_b 7.9643
_cell_length_c 4.1813
_cell_angle_alpha 90.00
_cell_angle_beta 90.00
_cell_angle_gamma 120.00
_symmetry_space_group_name_H-M 'P -6 2 m'
_symmetry_Int_Tables_number 189
_symmetry_space_group_name_Hall 'P -6 -2'
loop_
_atom_site_label
_atom_site_type_symbol
_atom_site_fract_x
_atom_site_fract_y
_atom_site_fract_z
_atom_site_occupancy
La1 La 0.0000 0.4148 0.0000 1
Mg1 Mg 0.0000 0.7604 0.5000 1
Au1 Au 0.0000 0.0000 0.0000 1
Au2 Au 0.3333 0.6667 0.5000 1

---

Q: Look up the total DFT energy (no corrections) of the third one.
A: -3.68 eV per atom

---

Q: Among the records above, which one has the lowest total DFT energy (no corrections)?
A: number 4

---

Q: What is the formula in the fourth record?
A: LaMgAu

---

Q: Look up the total DFT energy (no corrections) of the second one.
A: -3.78 eV per atom